one.
# GaHgRu2 GGA-PBE optimized geometry
data_GaHgRu2
_cell_length_a 4.4921
_cell_length_b 4.4921
_cell_length_c 4.4921
_cell_angle_alpha 60.00
_cell_angle_beta 60.00
_cell_angle_gamma 60.00
_symmetry_space_group_name_H-M 'P 1'
_symmetry_Int_Tables_number 1
loop_
_symmetry_equiv_pos_as_xyz
'x,y,z'
loop_
_atom_site_label
_atom_site_type_symbol
_atom_site_fract_x
_atom_site_fract_y
_atom_site_fract_z
_atom_site_occupancy
Ga1 Ga 0.0000 0.0000 0.0000 1
Ru1 Ru 0.2500 0.2500 0.2500 1
Ru2 Ru 0.7500 0.7500 0.7500 1
Hg1 Hg 0.5000 0.5000 0.5000 1
# Total magnetic moment in μB per cell: 1.100
# Density in Mg/m³: 12.24
# DOS(E_F) in states/eV per cell: 5.16
# Space group: No. 225


two.
# GaHgRu2 GGA-PBE optimized geometry
data_GaHgRu2
_cell_length_a 3.9992
_cell_length_b 3.9992
_cell_length_c 9.6988
_cell_angle_alpha 78.10
_cell_angle_beta 78.10
_cell_angle_gamma 90.00
_symmetry_space_group_name_H-M 'P 1'
_symmetry_Int_Tables_number 1
loop_
_symmetry_equiv_pos_as_xyz
'x,y,z'
loop_
_atom_site_label
_atom_site_type_symbol
_atom_site_fract_x
_atom_site_fract_y
_atom_site_fract_z
_atom_site_occupancy
Ru1 Ru 0.3750 0.4634 0.7500 1
Ru2 Ru 0.5366 0.1250 0.2500 1
Ru3 Ru 0.8750 0.7866 0.7500 1
Ru4 Ru 0.2134 0.6250 0.2500 1
Hg1 Hg 0.7500 0.2500 0.5000 1
Hg2 Hg 0.0000 0.0000 0.0000 1
Ga1 Ga 0.5000 0.5000 0.0000 1
Ga2 Ga 0.2500 0.7500 0.5000 1
# Total magnetic moment in μB per cell: 0.500
# Density in Mg/m³: 10.57
# DOS(E_F) in states/eV per cell: 7.27
# Space group: No. 122


Which of them is most stable, and which least? Most stable: one; least stable: two.